# 1
Material: ErTe4Pb2
Method: DFT, GGA-PBE
State: optimized geometry

It has space group Cmcm (No. 63), with a = 4.360 Å, b = 15.170 Å, c = 14.725 Å, α = 90.00°, β = 90.00° and γ = 90.00°. The distinct sites, in fractional coordinates, are Er at (0.000, 0.110, 0.250), Te at (0.000, 0.000, 0.000), Te at (0.000, 0.288, 0.636), Te at (0.000, 0.468, 0.250) and Pb at (0.000, 0.366, 0.066).

For the density of states at the Fermi level, the calculation gives 4.38 states/eV/f.u. Its formation energy from raw total energies is -0.59 eV/atom.

# 2
Material: SrAsRhBr2
Method: DFT, GGA-PBE
State: optimized geometry

It has space group P4/mmm (No. 123), with a = 5.279 Å, b = 5.279 Å, c = 4.791 Å, α = 90.00°, β = 90.00° and γ = 90.00°. The distinct sites, in fractional coordinates, are Sr at (0.000, 0.000, 0.000), As at (0.500, 0.500, 0.000), Rh at (0.500, 0.500, 0.500) and Br at (0.000, 0.500, 0.500).

For the density of states at the Fermi level, the calculation gives 4.09 states/eV/f.u. Its formation energy from raw total energies is -0.64 eV/atom.